Compound: NiSn3P
Source: Alexandria
Functional: PBE
Structure: optimized geometry

```
NiSn3P
1.0
4.9188 0.0000 0.0000
0.0000 4.9188 0.0000
0.0000 0.0000 4.9188
P Sn Ni
1 3 1
direct
0.5000 0.5000 0.5000
0.0000 0.5000 0.0000
0.0000 0.0000 0.5000
0.5000 0.0000 0.0000
0.0000 0.0000 0.0000
```

Fermi-level density of states, states/eV per atom: 0.387
Spin magnetization, Bohr magnetons per cell: 0.00
SG: Pm-3m, No. 221
ΔH_f (0 K), kJ/mol of formula units: 110
Final energy, eV per atom: -4.4117

=====

Compound: Ni10SnP3
Source: Alexandria
Functional: PBE
Structure: optimized geometry

```
Ni10SnP3
1.0
7.6757 0.0000 0.0000
-3.8379 6.6474 0.0000
0.0000 0.0000 9.6493
Sn Ni P
3 30 9
direct
0.6667 0.3333 0.3607
0.0000 0.0000 0.0000
0.3333 0.6667 0.6393
0.5093 0.0185 0.7600
0.3379 0.0000 0.5000
0.8105 0.6210 0.9270
0.6667 0.3333 0.6157
0.6210 0.8105 0.0730
0.0000 0.0000 0.6193
0.4907 0.9815 0.2400
0.4907 0.5093 0.2400
0.7264 0.8632 0.8004
0.5093 0.4907 0.7600
0.1895 0.8105 0.0730
0.3790 0.1895 0.9270
0.6621 0.0000 0.5000
0.0185 0.5093 0.2400
0.8632 0.7264 0.1996
0.1368 0.8632 0.8004
0.0000 0.6621 0.5000
0.1368 0.2736 0.8004
0.6667 0.3333 0.0963
0.1895 0.3790 0.0730
0.2736 0.1368 0.1996
0.3379 0.3379 0.5000
0.8105 0.1895 0.9270
0.8632 0.1368 0.1996
0.3333 0.6667 0.3843
0.0000 0.3379 0.5000
0.9815 0.4907 0.7600
0.6621 0.6621 0.5000
0.0000 0.0000 0.3807
0.3333 0.6667 0.9037
0.8355 0.6710 0.6905
0.1645 0.8355 0.3095
0.5000 0.0000 0.0000
0.1645 0.3290 0.3095
0.0000 0.5000 0.0000
0.5000 0.5000 0.0000
0.3290 0.1645 0.6905
0.6710 0.8355 0.3095
0.8355 0.1645 0.6905
```

Fermi-level density of states, states/eV per atom: 0.367
Spin magnetization, Bohr magnetons per cell: 0.00
SG: P-3m1, No. 164
ΔH_f (0 K), kJ/mol of formula units: -584
Final energy, eV per atom: -6.0071

=====

Compound: Ni2SnP2
Source: Alexandria
Functional: PBE
Structure: optimized geometry

```
Ni2SnP2
1.0
7.4297 0.0000 0.0000
0.0000 7.4297 0.0000
0.0000 0.0000 2.8144
Ni P Sn
4 4 2
direct
0.8812 0.3812 0.5000
0.1188 0.6188 0.5000
0.3812 0.1188 0.5000
0.6188 0.8812 0.5000
0.3645 0.8645 0.0000
0.8645 0.6355 0.0000
0.6355 0.1355 0.0000
0.1355 0.3645 0.0000
0.5000 0.5000 0.0000
0.0000 0.0000 0.0000
```

Fermi-level density of states, states/eV per atom: 0.621
Spin magnetization, Bohr magnetons per cell: 0.00
SG: P4/mbm, No. 127
ΔH_f (0 K), kJ/mol of formula units: 36
Final energy, eV per atom: -5.2022

=====

Compound: Ni10SnP3
Source: Alexandria
Functional: PBE
Structure: optimized geometry

```
Ni10SnP3
1.0
-5.7781 1.1760 -5.2110
-4.5625 -6.0080 -2.2384
-7.5133 -0.3118 2.3189
Ni P Sn
20 6 2
direct
0.0000 0.0000 0.3484
0.1513 0.6162 0.6162
0.6162 0.6162 0.1513
0.8487 0.3838 0.3838
0.3838 0.3838 0.3838
0.0000 0.3484 0.6516
0.6516 0.0000 0.3484
0.0000 0.6516 0.0000
0.0000 0.0000 0.6516
0.0000 0.6516 0.3484
0.3838 0.8487 0.3838
0.3484 0.0000 0.6516
0.0000 0.3484 0.0000
0.6162 0.1513 0.6162
0.6516 0.0000 0.0000
0.3484 0.0000 0.0000
0.3838 0.3838 0.8487
0.6516 0.3484 0.0000
0.6162 0.6162 0.6162
0.3484 0.6516 0.0000
0.7380 0.2620 0.7380
0.2620 0.7380 0.2620
0.7380 0.7380 0.2620
0.2620 0.7380 0.7380
0.2620 0.2620 0.7380
0.7380 0.2620 0.2620
0.2500 0.2500 0.2500
0.7500 0.7500 0.7500
```

Fermi-level density of states, states/eV per atom: 0.535
Spin magnetization, Bohr magnetons per cell: 0.00
SG: Fm-3m, No. 225
ΔH_f (0 K), kJ/mol of formula units: -539
Final energy, eV per atom: -5.9739

=====

Compound: Ni2Sn2P
Source: Alexandria
Functional: PBE
Structure: optimized geometry

```
Ni2Sn2P
1.0
6.4236 0.0000 0.0000
0.0000 6.4236 0.0000
0.0000 0.0000 4.1263
Sn Ni P
4 4 2
direct
0.3346 0.1654 0.5000
0.8346 0.3346 0.5000
0.1654 0.6654 0.5000
0.6654 0.8346 0.5000
0.8497 0.6503 0.0000
0.3497 0.8497 0.0000
0.6503 0.1503 0.0000
0.1503 0.3497 0.0000
0.5000 0.5000 0.0000
0.0000 0.0000 0.0000
```

Fermi-level density of states, states/eV per atom: 0.470
Spin magnetization, Bohr magnetons per cell: 0.00
SG: P4/mbm, No. 127
ΔH_f (0 K), kJ/mol of formula units: 28
Final energy, eV per atom: -4.9371

=====

Compound: NiSnP2
Source: Alexandria
Functional: PBE
Structure: optimized geometry

```
NiSnP2
1.0
-0.0784 -3.4314 -1.4359
1.8248 -2.7664 1.6910
-5.4390 -3.5983 4.0756
Sn P Ni
1 2 1
direct
0.5000 0.5000 0.5000
0.9041 0.9041 0.2876
0.0959 0.0959 0.7124
0.0000 0.0000 0.0000
```

Fermi-level density of states, states/eV per atom: 1.378
Spin magnetization, Bohr magnetons per cell: 0.55
SG: R-3m, No. 166
ΔH_f (0 K), kJ/mol of formula units: 172
Final energy, eV per atom: -4.7044

=====

Compound: NiSn3P
Source: Alexandria
Functional: PBE
Structure: optimized geometry

```
NiSn3P
1.0
5.0840 0.0000 0.0000
0.0000 5.0840 0.0000
0.0000 0.0000 5.0840
Sn P Ni
3 1 1
direct
0.0000 0.5000 0.0000
0.0000 0.0000 0.5000
0.5000 0.0000 0.0000
0.0000 0.0000 0.0000
0.5000 0.5000 0.5000
```

Fermi-level density of states, states/eV per atom: 0.925
Spin magnetization, Bohr magnetons per cell: 0.00
SG: Pm-3m, No. 221
ΔH_f (0 K), kJ/mol of formula units: 416
Final energy, eV per atom: -3.7784

=====

Compound: SrNi4SnP2
Source: Alexandria
Functional: PBE
Structure: optimized geometry

```
SrNi4SnP2
1.0
3.7538 0.0000 0.0000
0.0000 3.7538 0.0000
0.0000 0.0000 9.5979
P Ni Sr Sn
2 4 1 1
direct
0.5000 0.5000 0.6865
0.5000 0.5000 0.3135
0.0000 0.5000 0.8053
0.0000 0.5000 0.1947
0.5000 0.0000 0.1947
0.5000 0.0000 0.8053
0.0000 0.0000 0.5000
0.0000 0.0000 0.0000
```

Fermi-level density of states, states/eV per atom: 0.621
Spin magnetization, Bohr magnetons per cell: 0.00
SG: P4/mmm, No. 123
ΔH_f (0 K), kJ/mol of formula units: -405
Final energy, eV per atom: -5.4780

=====

Compound: TcNiSnP2
Source: Alexandria
Functional: PBE
Structure: optimized geometry

```
TcNiSnP2
1.0
-3.2124 -1.2587 -2.4475
-2.7556 -1.0705 4.1673
-1.5394 3.9401 -0.0058
Tc Sn Ni P
1 1 1 2
direct
0.0000 0.5000 0.0000
0.5000 0.5000 0.5000
0.0000 0.0000 0.0000
0.5000 0.0000 0.0000
0.0000 0.0000 0.5000
```

Fermi-level density of states, states/eV per atom: 1.140
Spin magnetization, Bohr magnetons per cell: 2.03
SG: P4/mmm, No. 123
ΔH_f (0 K), kJ/mol of formula units: 328
Final energy, eV per atom: -5.5138

=====

Compound: Tm3Ni9SnP2
Source: Alexandria
Functional: PBE
Structure: optimized geometry

```
Tm3Ni9SnP2
1.0
-0.9689 -3.4851 4.5001
4.3570 -1.1070 -3.6232
5.3093 4.8534 4.9018
Tm Ni P Sn
3 9 2 1
direct
0.0000 0.0000 0.0000
0.6667 0.3333 0.3001
0.3333 0.6667 0.6999
0.0000 0.5000 0.0000
0.7089 0.8545 0.2651
0.8545 0.1455 0.7349
0.8545 0.7089 0.7349
0.2911 0.1455 0.7349
0.5000 0.5000 0.0000
0.5000 0.0000 0.0000
0.1455 0.2911 0.2651
0.1455 0.8545 0.2651
0.3333 0.6667 0.1610
0.6667 0.3333 0.8390
0.0000 0.0000 0.5000
```

Fermi-level density of states, states/eV per atom: 0.471
Spin magnetization, Bohr magnetons per cell: 0.00
SG: P-3m1, No. 164
ΔH_f (0 K), kJ/mol of formula units: -584
Final energy, eV per atom: -5.7546

=====

Compound: UNi7Sn2P2
Source: Alexandria
Functional: PBE
Structure: optimized geometry

```
UNi7Sn2P2
1.0
-0.5296 -2.7092 2.6593
3.6376 -1.1775 -0.2710
4.0146 7.0883 9.4141
Ni P Sn U
7 2 2 1
direct
0.1835 0.6821 0.7511
0.6821 0.1835 0.7511
0.2871 0.2871 0.3844
0.8165 0.3179 0.2489
0.3179 0.8165 0.2489
0.7129 0.7129 0.6156
0.5000 0.5000 0.0000
0.6630 0.6630 0.8364
0.3370 0.3370 0.1636
0.7796 0.7796 0.4067
0.2204 0.2204 0.5933
0.0000 0.0000 0.0000
```

Fermi-level density of states, states/eV per atom: 1.197
Spin magnetization, Bohr magnetons per cell: 2.31
SG: C2/m, No. 12
ΔH_f (0 K), kJ/mol of formula units: -346
Final energy, eV per atom: -6.1809

=====

Compound: UNi4SnP2
Source: Alexandria
Functional: PBE
Structure: optimized geometry

```
UNi4SnP2
1.0
-1.9225 -2.6492 -1.6809
-0.3607 -1.7717 3.2048
-7.4865 4.4179 1.5997
Ni P U Sn
4 2 1 1
direct
0.5000 0.0000 0.7848
0.0000 0.5000 0.2152
0.0000 0.5000 0.7848
0.5000 0.0000 0.2152
0.5000 0.5000 0.3599
0.5000 0.5000 0.6401
0.0000 0.0000 0.5000
0.0000 0.0000 0.0000
```

Fermi-level density of states, states/eV per atom: 1.021
Spin magnetization, Bohr magnetons per cell: 1.76
SG: P4/mmm, No. 123
ΔH_f (0 K), kJ/mol of formula units: -391
Final energy, eV per atom: -6.6614

=====

Compound: VNi7Sn2P2
Source: Alexandria
Functional: PBE
Structure: optimized geometry

```
VNi7Sn2P2
1.0
3.5620 -0.0026 0.0126
0.0017 3.5620 0.0126
1.7346 1.7325 14.0384
Ni P V Sn
7 2 1 2
direct
0.4352 0.9352 0.1281
0.6893 0.6893 0.6218
0.0648 0.5648 0.8719
0.3107 0.3107 0.3782
0.5000 0.5000 0.0000
0.5648 0.0648 0.8719
0.9352 0.4352 0.1281
0.3870 0.3870 0.2246
0.6130 0.6130 0.7754
0.0000 0.0000 0.0000
0.2111 0.2111 0.5780
0.7889 0.7889 0.4220
```

Fermi-level density of states, states/eV per atom: 0.565
Spin magnetization, Bohr magnetons per cell: 0.01
SG: I4/mmm, No. 139
ΔH_f (0 K), kJ/mol of formula units: -296
Final energy, eV per atom: -5.9568

=====

Compound: ZnNi7Sn2P2
Source: Alexandria
Functional: PBE
Structure: optimized geometry

```
ZnNi7Sn2P2
1.0
-2.7203 0.3852 -2.3053
-2.2184 -1.5447 2.3571
-5.3375 11.9402 5.5172
Ni Sn P Zn
7 2 2 1
direct
0.9344 0.4341 0.1312
0.3111 0.3111 0.3776
0.6889 0.6889 0.6224
0.5659 0.0656 0.8688
0.4341 0.9344 0.1312
0.0656 0.5659 0.8688
0.5000 0.5000 0.0000
0.2108 0.2108 0.5782
0.7892 0.7892 0.4218
0.3896 0.3896 0.2219
0.6104 0.6104 0.7781
0.0000 0.0000 0.0000
```

Fermi-level density of states, states/eV per atom: 0.648
Spin magnetization, Bohr magnetons per cell: 0.00
SG: I4/mmm, No. 139
ΔH_f (0 K), kJ/mol of formula units: -270
Final energy, eV per atom: -5.2807

=====

Compound: SrNiP
Source: Alexandria
Functional: PBE
Structure: optimized geometry

```
SrNiP
1.0
0.0000 3.2406 3.2406
3.2406 0.0000 3.2406
3.2406 3.2406 0.0000
Ni P Sr
1 1 1
direct
0.5000 0.5000 0.5000
0.2500 0.2500 0.2500
0.0000 0.0000 0.0000
```

Fermi-level density of states, states/eV per atom: 1.720
Spin magnetization, Bohr magnetons per cell: 0.97
SG: F-43m, No. 216
ΔH_f (0 K), kJ/mol of formula units: -46
Final energy, eV per atom: -4.4508

=====

Compound: Sr2NiP
Source: Alexandria
Functional: PBE
Structure: optimized geometry

```
Sr2NiP
1.0
5.8471 -0.1570 0.0349
4.2004 4.0706 0.0349
-0.0259 -0.0101 4.2183
Ni Sr P
1 2 1
direct
0.4134 0.4134 0.6250
0.7361 0.7361 0.6250
0.0201 0.0201 0.1250
0.3304 0.3304 0.1250
```

Fermi-level density of states, states/eV per atom: 0.949
Spin magnetization, Bohr magnetons per cell: 0.00
SG: Amm2, No. 38
ΔH_f (0 K), kJ/mol of formula units: -229
Final energy, eV per atom: -4.2308

=====

Compound: Sr3NiP2
Source: Alexandria
Functional: PBE
Structure: optimized geometry

```
Sr3NiP2
1.0
4.2609 0.0000 0.0000
0.0000 12.1390 0.0000
0.0000 0.0000 11.8182
Sr P Ni
12 8 4
direct
0.2500 0.3769 0.0632
0.2500 0.0530 0.8818
0.7500 0.1939 0.2953
0.2500 0.4470 0.3818
0.7500 0.5530 0.6182
0.2500 0.6939 0.2047
0.2500 0.1231 0.5632
0.7500 0.6231 0.9368
0.7500 0.9470 0.1182
0.7500 0.8769 0.4368
0.2500 0.8061 0.7047
0.7500 0.3061 0.7953
0.2500 0.8163 0.9616
0.2500 0.6837 0.4616
0.7500 0.3163 0.5384
0.7500 0.9815 0.7020
0.2500 0.4815 0.7980
0.2500 0.0185 0.2980
0.7500 0.1837 0.0384
0.7500 0.5185 0.2020
0.7500 0.8620 0.8732
0.2500 0.1380 0.1268
0.7500 0.6380 0.3732
0.2500 0.3620 0.6268
```

Fermi-level density of states, states/eV per atom: 0.251
Spin magnetization, Bohr magnetons per cell: 0.00
SG: Pnma, No. 62
ΔH_f (0 K), kJ/mol of formula units: -487
Final energy, eV per atom: -4.4484

=====

Compound: SrNi5P4
Source: Alexandria
Functional: PBE
Structure: optimized geometry

```
SrNi5P4
1.0
3.8876 0.0000 0.0000
0.0000 6.6992 0.0000
0.0000 0.0000 11.2072
Ni P Sr
10 8 2
direct
0.7516 0.6882 0.1888
0.2484 0.8118 0.3112
0.7516 0.3118 0.8112
0.7516 0.3118 0.1888
0.7516 0.6882 0.8112
0.9372 0.0000 0.5000
0.2484 0.1882 0.3112
0.0628 0.5000 0.0000
0.2484 0.1882 0.6888
0.2484 0.8118 0.6888
0.5701 0.3285 0.0000
0.7587 0.0000 0.2633
0.5701 0.6715 0.0000
0.7587 0.0000 0.7366
0.2413 0.5000 0.7634
0.4299 0.8285 0.5000
0.2413 0.5000 0.2366
0.4299 0.1715 0.5000
0.0991 0.0000 0.0000
0.9009 0.5000 0.5000
```

Fermi-level density of states, states/eV per atom: 0.627
Spin magnetization, Bohr magnetons per cell: 0.00
SG: Pmmn, No. 59
ΔH_f (0 K), kJ/mol of formula units: -516
Final energy, eV per atom: -5.7573

=====

Compound: SrNi5P3
Source: Alexandria
Functional: PBE
Structure: optimized geometry

```
SrNi5P3
1.0
-2.1400 4.5357 -3.5663
1.5403 -5.9509 0.2920
-10.8681 -2.6589 3.1398
Ni P Sr
10 6 2
direct
0.1979 0.8021 0.5680
0.0000 0.0000 0.5000
0.5502 0.4498 0.8549
0.0000 0.0000 0.0000
0.5502 0.4498 0.6451
0.8021 0.1979 0.0680
0.1979 0.8021 0.9320
0.4498 0.5502 0.3549
0.4498 0.5502 0.1451
0.8021 0.1979 0.4320
0.6185 0.3815 0.0369
0.3815 0.6185 0.5369
0.8853 0.1147 0.2500
0.6185 0.3815 0.4631
0.3815 0.6185 0.9631
0.1147 0.8853 0.7500
0.8379 0.1621 0.7500
0.1621 0.8379 0.2500
```

Fermi-level density of states, states/eV per atom: 0.508
Spin magnetization, Bohr magnetons per cell: 0.00
SG: Cmcm, No. 63
ΔH_f (0 K), kJ/mol of formula units: -617
Final energy, eV per atom: -5.9129

=====

Compound: SrNiP
Source: Alexandria
Functional: PBE
Structure: optimized geometry

```
SrNiP
1.0
-1.6653 1.6653 5.2752
1.6653 -1.6653 5.2752
1.6653 1.6653 -5.2752
Ni P Sr
1 1 1
direct
0.9430 0.9430 0.0000
0.3869 0.3869 0.0000
0.6701 0.6701 0.0000
```

Fermi-level density of states, states/eV per atom: 0.968
Spin magnetization, Bohr magnetons per cell: 0.00
SG: I4mm, No. 107
ΔH_f (0 K), kJ/mol of formula units: -74
Final energy, eV per atom: -4.5457